Zn3RuSe | PBE | optimized geometry

a = 4.7493 Å, b = 4.7493 Å, c = 4.7493 Å
α = 90.00°, β = 90.00°, γ = 90.00°
Space group Pm-3m (No. 221)
Inequivalent atoms, fractional coordinates:
Zn 0.0000 0.0000 0.5000 (multiplicity 3)
Ru 0.5000 0.5000 0.5000 (multiplicity 1)
Se 0.0000 0.0000 0.0000 (multiplicity 1)

Values from the calculation:
**Energy above the lowest structure with this stoichiometry**: 2.24 eV per formula unit
**Formation energy (no corrections)**: 1.124 eV per atom
**DOS(E_F)**: 5.43 states/eV per cell